1.
Entry from Alexandria: a geometry-optimized AcSmThMg structure (PBE).

Values from the calculation:
Calculated formation energy = 0.208 eV per atom
Electronic total energy = -0.1563 hartree per atom

abc: 5.743 5.743 5.743
angles: 60.00 60.00 60.00
Sites, in units of the cell vectors:
Mg 0.000 0.000 0.000
Sm 0.250 0.250 0.250
Ac 0.500 0.500 0.500
Th 0.750 0.750 0.750


2.
Entry from Alexandria: a geometry-optimized AcSm2MgTl4 structure (PBE).

Values from the calculation:
Calculated formation energy = -0.299 eV per atom
Electronic total energy = -0.1240 hartree per atom

abc: 5.280 5.280 10.448
angles: 75.36 75.36 60.00
Sites, in units of the cell vectors:
Tl 0.388 0.388 0.835
Sm 0.766 0.766 0.702
Tl 0.612 0.612 0.165
Mg 0.500 0.500 0.500
Tl 0.126 0.126 0.622
Sm 0.234 0.234 0.298
Tl 0.874 0.874 0.378
Ac 0.000 0.000 0.000


3.
Entry from Alexandria: a geometry-optimized AcSmMg2Tl4 structure (PBE).

Values from the calculation:
Calculated formation energy = -0.259 eV per atom
Electronic total energy = -0.1082 hartree per atom

abc: 4.942 4.942 11.281
angles: 77.35 77.35 60.00
Sites, in units of the cell vectors:
Tl 0.391 0.391 0.826
Mg 0.756 0.756 0.733
Tl 0.609 0.609 0.174
Tl 0.880 0.880 0.361
Tl 0.120 0.120 0.639
Sm 0.500 0.500 0.500
Ac 0.000 0.000 0.000
Mg 0.244 0.244 0.267


4.
Entry from Alexandria: a geometry-optimized AcSmMgZn structure (PBE).

Values from the calculation:
Calculated formation energy = -0.174 eV per atom
Electronic total energy = -0.1139 hartree per atom

abc: 3.836 3.836 7.932
angles: 90.00 90.00 90.00
Sites, in units of the cell vectors:
Ac 0.000 0.000 0.875
Mg 0.500 0.500 0.580
Zn 0.500 0.500 0.140
Sm 0.000 0.000 0.334


5.
Entry from Alexandria: a geometry-optimized AcSmMgZn structure (PBE).

Values from the calculation:
Calculated formation energy = -0.128 eV per atom
Electronic total energy = -0.1122 hartree per atom

abc: 5.484 5.484 5.484
angles: 60.00 60.00 60.00
Sites, in units of the cell vectors:
Ac 0.750 0.750 0.750
Mg 0.500 0.500 0.500
Sm 0.250 0.250 0.250
Zn 0.000 0.000 0.000


6.
Entry from Alexandria: a geometry-optimized AcMgSn2 structure (PBE).

Values from the calculation:
Calculated formation energy = -0.469 eV per atom
Electronic total energy = -0.1432 hartree per atom

abc: 4.497 8.988 11.907
angles: 90.00 90.00 90.00
Sites, in units of the cell vectors:
Sn 0.250 0.242 0.548
Mg 0.250 0.475 0.097
Ac 0.750 0.880 0.145
Ac 0.250 0.120 0.855
Sn 0.250 0.166 0.204
Sn 0.250 0.666 0.296
Sn 0.750 0.334 0.704
Mg 0.750 0.025 0.597
Sn 0.750 0.834 0.796
Ac 0.250 0.620 0.645
Sn 0.750 0.758 0.452
Mg 0.750 0.525 0.903
Mg 0.250 0.975 0.403
Sn 0.250 0.742 0.952
Ac 0.750 0.380 0.355
Sn 0.750 0.258 0.048


7.
Entry from Alexandria: a geometry-optimized Ac2MgSn structure (PBE).

Values from the calculation:
Calculated formation energy = -0.355 eV per atom
Electronic total energy = -0.1400 hartree per atom

abc: 5.785 5.785 5.785
angles: 60.00 60.00 60.00
Sites, in units of the cell vectors:
Ac 0.750 0.750 0.750
Sn 0.000 0.000 0.000
Ac 0.250 0.250 0.250
Mg 0.500 0.500 0.500


8.
Entry from Alexandria: a geometry-optimized AcMg2Sn2 structure (PBE).

Values from the calculation:
Calculated formation energy = -0.475 eV per atom
Electronic total energy = -0.1299 hartree per atom

abc: 4.673 4.673 7.236
angles: 108.86 108.84 90.00
Sites, in units of the cell vectors:
Mg 0.750 0.250 0.500
Sn 0.614 0.614 0.228
Ac 0.000 0.000 0.000
Sn 0.386 0.386 0.772
Mg 0.250 0.750 0.500


9.
Entry from Alexandria: a geometry-optimized AcMg6Sn12 structure (PBE).

Values from the calculation:
Calculated formation energy = -0.033 eV per atom
Electronic total energy = -0.1206 hartree per atom

abc: 8.769 8.769 8.769
angles: 109.47 109.47 109.47
Sites, in units of the cell vectors:
Sn 0.462 0.187 0.275
Mg 0.500 0.856 0.356
Mg 0.500 0.144 0.644
Sn 0.813 0.725 0.538
Sn 0.538 0.813 0.725
Mg 0.644 0.500 0.144
Sn 0.187 0.275 0.462
Sn 0.912 0.187 0.725
Sn 0.088 0.813 0.275
Sn 0.275 0.462 0.187
Ac 0.000 0.000 0.000
Sn 0.725 0.538 0.813
Mg 0.144 0.644 0.500
Mg 0.356 0.500 0.856
Sn 0.275 0.088 0.813
Sn 0.187 0.725 0.912
Sn 0.725 0.912 0.187
Mg 0.856 0.356 0.500
Sn 0.813 0.275 0.088


10.
Entry from Alexandria: a geometry-optimized Ac2MgSn structure (PBE).

Values from the calculation:
Calculated formation energy = -0.381 eV per atom
Electronic total energy = -0.1409 hartree per atom

abc: 4.710 6.751 9.710
angles: 110.73 90.00 90.00
Sites, in units of the cell vectors:
Sn 0.250 0.347 0.703
Ac 0.250 0.800 0.579
Sn 0.750 0.653 0.297
Ac 0.250 0.781 0.068
Ac 0.750 0.219 0.932
Mg 0.250 0.370 0.220
Mg 0.750 0.630 0.780
Ac 0.750 0.200 0.421


11.
Entry from Alexandria: a geometry-optimized Ac5MgSn2 structure (PBE).

Values from the calculation:
Calculated formation energy = -0.237 eV per atom
Electronic total energy = -0.1472 hartree per atom

abc: 5.737 6.642 18.064
angles: 90.00 90.00 115.59
Sites, in units of the cell vectors:
Ac 0.409 0.818 0.415
Ac 0.591 0.182 0.915
Mg 0.540 0.080 0.250
Ac 0.106 0.213 0.393
Ac 0.106 0.213 0.107
Sn 0.752 0.503 0.428
Ac 0.409 0.818 0.085
Sn 0.248 0.497 0.572
Ac 0.830 0.659 0.250
Ac 0.894 0.787 0.607
Sn 0.248 0.497 0.928
Sn 0.752 0.503 0.072
Ac 0.591 0.182 0.585
Ac 0.894 0.787 0.893
Ac 0.170 0.341 0.750
Mg 0.460 0.920 0.750


12.
Entry from Alexandria: a geometry-optimized AcMg2Sn structure (PBE).

Values from the calculation:
Calculated formation energy = -0.368 eV per atom
Electronic total energy = -0.1173 hartree per atom

abc: 4.833 10.352 9.659
angles: 90.00 104.49 90.00
Sites, in units of the cell vectors:
Mg 0.951 0.750 0.902
Mg 0.305 0.104 0.611
Mg 0.105 0.750 0.209
Ac 0.500 0.500 0.000
Sn 0.855 0.526 0.711
Ac 0.305 0.750 0.610
Mg 0.695 0.604 0.389
Sn 0.145 0.026 0.289
Ac 0.695 0.250 0.390
Mg 0.695 0.896 0.389
Ac 0.500 0.000 0.000
Sn 0.855 0.974 0.711
Mg 0.895 0.250 0.791
Mg 0.305 0.396 0.611
Mg 0.049 0.250 0.098
Sn 0.145 0.474 0.289


13.
Entry from Alexandria: a geometry-optimized AcMg2Sn structure (PBE).

Values from the calculation:
Calculated formation energy = -0.307 eV per atom
Electronic total energy = -0.1151 hartree per atom

abc: 5.062 4.811 4.811
angles: 90.00 90.00 90.00
Sites, in units of the cell vectors:
Mg 0.000 0.500 0.000
Ac 0.500 0.000 0.000
Sn 0.500 0.500 0.500
Mg 0.000 0.000 0.500


14.
Entry from Alexandria: a geometry-optimized AcMgSn structure (PBE).

Values from the calculation:
Calculated formation energy = -0.289 eV per atom
Electronic total energy = -0.1295 hartree per atom

abc: 3.869 3.869 6.741
angles: 106.68 106.68 90.00
Sites, in units of the cell vectors:
Ac 0.000 0.000 0.000
Mg 0.307 0.307 0.614
Sn 0.693 0.693 0.386


15.
Entry from Alexandria: a geometry-optimized AcMgSn structure (PBE).

Values from the calculation:
Calculated formation energy = -0.536 eV per atom
Electronic total energy = -0.1386 hartree per atom

abc: 4.722 4.722 8.261
angles: 90.00 90.00 90.00
Site moments in Bohr magnetons follow the coordinates.
Sites, in units of the cell vectors:
Mg 0.500 0.000 0.000  0.01
Ac 0.000 0.000 0.653  0.17
Ac 0.500 0.500 0.347  0.17
Mg 0.000 0.500 0.000  0.01
Sn 0.500 0.500 0.775  -0.01
Sn 0.000 0.000 0.225  -0.01


16.
Entry from Alexandria: a geometry-optimized Ac6MgSn2 structure (PBE).

Values from the calculation:
Calculated formation energy = -0.152 eV per atom
Electronic total energy = -0.1454 hartree per atom

abc: 5.646 7.983 9.778
angles: 114.09 106.77 90.00
Sites, in units of the cell vectors:
Ac 0.500 0.748 0.000
Ac 0.834 0.583 0.667
Ac 0.834 0.084 0.667
Ac 0.166 0.916 0.333
Sn 0.667 0.668 0.336
Ac 0.500 0.252 0.000
Ac 0.166 0.417 0.333
Mg 0.000 0.000 0.000
Sn 0.333 0.332 0.664


17.
Entry from Alexandria: a geometry-optimized AcMgSn structure (PBE).

Values from the calculation:
Calculated formation energy = -0.312 eV per atom
Electronic total energy = -0.1303 hartree per atom

abc: 5.286 5.286 5.286
angles: 60.00 60.00 60.00
Sites, in units of the cell vectors:
Sn 0.250 0.250 0.250
Mg 0.000 0.000 0.000
Ac 0.500 0.500 0.500


18.
Entry from Alexandria: a geometry-optimized AcMg2Sn structure (PBE).

Values from the calculation:
Calculated formation energy = -0.309 eV per atom
Electronic total energy = -0.1152 hartree per atom

abc: 4.598 4.598 11.389
angles: 90.00 90.00 90.00
Sites, in units of the cell vectors:
Mg 0.500 0.000 0.936
Sn 0.500 0.000 0.666
Mg 0.000 0.500 0.064
Ac 0.500 0.000 0.236
Mg 0.000 0.000 0.500
Ac 0.000 0.500 0.764
Mg 0.500 0.500 0.500
Sn 0.000 0.500 0.334


19.
Entry from Alexandria: a geometry-optimized Ac3Mg3Sn8 structure (PBE).

Values from the calculation:
Calculated formation energy = -0.358 eV per atom
Electronic total energy = -0.1421 hartree per atom

abc: 5.199 9.362 9.362
angles: 71.98 73.88 73.88
Sites, in units of the cell vectors:
Sn 0.368 0.923 0.341
Sn 0.851 0.506 0.791
Mg 0.000 0.835 0.165
Ac 0.212 0.788 0.788
Sn 0.632 0.077 0.659
Sn 0.368 0.341 0.923
Sn 0.851 0.791 0.506
Mg 0.000 0.165 0.835
Sn 0.149 0.494 0.209
Ac 0.500 0.500 0.500
Sn 0.632 0.659 0.077
Mg 0.500 0.000 0.000
Sn 0.149 0.209 0.494
Ac 0.788 0.212 0.212


20.
Entry from Alexandria: a geometry-optimized Ac4MgSn3 structure (PBE).

Values from the calculation:
Calculated formation energy = -0.554 eV per atom
Electronic total energy = -0.1583 hartree per atom

abc: 4.938 4.647 12.539
angles: 90.00 90.00 90.00
Site moments in Bohr magnetons follow the coordinates.
Sites, in units of the cell vectors:
Sn 0.000 0.000 0.421  0.01
Sn 0.000 0.500 0.584  0.00
Ac 0.000 0.000 0.143  0.08
Sn 0.500 0.000 0.922  -0.01
Ac 0.500 0.500 0.363  0.03
Ac 0.500 0.000 0.640  0.06
Ac 0.000 0.500 0.858  0.08
Mg 0.500 0.500 0.069  0.01


21.
Entry from Alexandria: a geometry-optimized AcMgSn2 structure (PBE).

Values from the calculation:
Calculated formation energy = -0.462 eV per atom
Electronic total energy = -0.1429 hartree per atom

abc: 4.730 4.963 4.963
angles: 90.00 90.00 90.00
Sites, in units of the cell vectors:
Sn 0.000 0.500 0.000
Sn 0.000 0.000 0.500
Mg 0.500 0.500 0.500
Ac 0.500 0.000 0.000


22.
Entry from Alexandria: a geometry-optimized Ac5MgSn3 structure (PBE).

Values from the calculation:
Calculated formation energy = -0.504 eV per atom
Electronic total energy = -0.1580 hartree per atom

abc: 7.180 10.176 10.176
angles: 120.00 90.00 90.00
Site moments in Bohr magnetons follow the coordinates.
Sites, in units of the cell vectors:
Mg 0.500 0.000 0.000  0.00
Ac 0.000 0.333 0.667  0.13
Ac 0.750 0.000 0.292  0.06
Sn 0.750 0.000 0.634  -0.01
Ac 0.250 0.292 0.292  0.06
Ac 0.750 0.708 0.708  0.06
Ac 0.500 0.667 0.333  0.13
Ac 0.250 0.708 0.000  0.06
Sn 0.250 0.000 0.366  -0.01
Ac 0.500 0.333 0.667  0.13
Ac 0.250 0.000 0.708  0.06
Ac 0.750 0.292 0.000  0.06
Sn 0.750 0.634 0.000  -0.01
Mg 0.000 0.000 0.000  0.00
Sn 0.750 0.366 0.366  -0.01
Sn 0.250 0.366 0.000  -0.01
Sn 0.250 0.634 0.634  -0.01
Ac 0.000 0.667 0.333  0.13


23.
Entry from Alexandria: a geometry-optimized Ac4MgSn2 structure (PBE).

Values from the calculation:
Calculated formation energy = -0.416 eV per atom
Electronic total energy = -0.1519 hartree per atom

abc: 6.653 7.312 10.701
angles: 90.00 89.98 90.00
Sites, in units of the cell vectors:
Ac 0.601 0.003 0.750
Sn 0.670 0.750 0.024
Ac 0.158 0.750 0.937
Ac 0.399 0.503 0.250
Sn 0.330 0.250 0.524
Ac 0.842 0.250 0.438
Ac 0.158 0.750 0.562
Sn 0.670 0.750 0.476
Ac 0.601 0.497 0.750
Mg 0.083 0.250 0.750
Sn 0.330 0.250 0.976
Ac 0.842 0.250 0.063
Mg 0.917 0.750 0.250
Ac 0.399 0.997 0.250


24.
Entry from Alexandria: a geometry-optimized AcMgSn2 structure (PBE).

Values from the calculation:
Calculated formation energy = -0.260 eV per atom
Electronic total energy = -0.1355 hartree per atom

abc: 3.690 3.690 9.636
angles: 101.14 101.09 89.95
Sites, in units of the cell vectors:
Sn 0.849 0.511 0.484
Ac 0.221 0.882 0.228
Sn 0.593 0.253 0.973
Mg 0.472 0.629 0.728